Na2TlHgAu | Alexandria via LeMat-Bulk | PBE | relaxed; space-group type = No. 123; ΔH_f (0 K) = -0.2 eV per formula unit; magnetization = 0.000 Bohr magnetons per cell; distance to the lowest polymorph of the same formula = 120 meV/atom
1.0
5.512 0.000 0.000
0.000 5.512 0.000
0.000 0.000 5.349
Na Au Tl Hg
2 1 1 1
direct
0.000 0.500 0.000
0.500 0.000 0.000
0.000 0.000 0.000
0.500 0.500 0.500
0.000 0.000 0.500

---

Na2TlHg2Au2 | Alexandria via LeMat-Bulk | PBE | relaxed; space-group type = No. 166; ΔH_f (0 K) = -1.1 eV per formula unit; magnetization = 0.000 Bohr magnetons per cell
1.0
4.982 0.000 0.000
2.491 4.314 0.000
2.491 1.438 7.670
Au Tl Na Hg
2 1 2 2
direct
0.267 0.267 0.199
0.733 0.733 0.801
0.000 0.000 0.000
0.863 0.863 0.411
0.137 0.137 0.589
0.419 0.419 0.743
0.581 0.581 0.257

---

NaTlHgAu2 | Alexandria via LeMat-Bulk | PBE | relaxed; space-group type = No. 123; ΔH_f (0 K) = 1.4 eV per formula unit; magnetization = 0.000 Bohr magnetons per cell
1.0
5.368 0.000 0.000
0.000 5.876 0.000
0.000 0.000 5.368
Tl Na Au Hg
1 1 2 1
direct
0.000 0.000 0.000
0.000 0.500 0.000
0.000 0.000 0.500
0.500 0.000 0.000
0.500 0.500 0.500

---

The lowest ΔH_f (0 K) belongs to which entry? Na2TlHg2Au2